No. 1
First-principles (GGA-PBEsol) data for a geometry-optimized Mn4ReTc structure, as listed in Alexandria via LeMat-Bulk.

Unit cell a=4.609 b=4.609 c=4.609 alpha=60.00 beta=60.00 gamma=60.00
Sites, in units of the cell vectors:
1 Re 0.750 0.750 0.750
2 Tc 0.000 0.000 0.000
3 Mn 0.374 0.374 0.877
4 Mn 0.877 0.374 0.374
5 Mn 0.374 0.877 0.374
6 Mn 0.374 0.374 0.374

Properties
The volume comes out at 11.5 Å³/atom. The calculation puts the uncorrected energy at -10.693 eV/atom. The calculation puts the density of states at the Fermi level at 3.94 states/eV/cell. The calculation puts the total magnetization at 0.00 μB per cell. Its formation energy is -0.5 eV per formula unit.

=====

No. 2
First-principles (GGA-PBEsol) data for a geometry-optimized MgAsH3 structure, as listed in Alexandria via LeMat-Bulk.

Unit cell a=3.772 b=3.772 c=3.772 alpha=90.00 beta=90.00 gamma=90.00
Sites, in units of the cell vectors:
1 H 0.000 0.000 0.500
2 H 0.000 0.500 0.000
3 As 0.000 0.000 0.000
4 Mg 0.500 0.500 0.500
5 H 0.500 0.000 0.000

Properties
The volume comes out at 10.7 Å³/atom. The calculation puts the uncorrected energy at -2.912 eV/atom. The calculation puts the density of states at the Fermi level at 1.09 states/eV/cell. The calculation puts the total magnetization at 0.00 μB per cell.